Entry 1:
Here is an optimized crystal structure of RbNbTc3 from the Alexandria database. Energies are from PBE.

Properties
Calculated formation energy in kJ/mol of atoms: 295.5
Polymorph energy (0 for the lowest one) in meV/atom: 1267
Uncorrected energy in Ry/atom: -0.394

Unit cell a=4.594 b=4.594 c=4.594 alpha=90.00 beta=90.00 gamma=90.00
Atoms (fractional coordinates):
Tc 0.500 0.000 0.000
Tc 0.000 0.000 0.500
Tc 0.000 0.500 0.000
Nb 0.500 0.500 0.500
Rb 0.000 0.000 0.000



Entry 2:
Here is an optimized crystal structure of Ac2Al3Ga6 from the Alexandria database. Energies are from PBE.

Properties
Calculated formation energy in kJ/mol of atoms: -31.9
Uncorrected energy in Ry/atom: -0.276

Unit cell a=4.109 b=7.772 c=7.772 alpha=99.74 beta=90.00 gamma=90.00
Atoms (fractional coordinates):
Al 0.500 0.000 0.000
Ga 0.500 0.619 0.619
Ac 0.000 0.713 0.287
Al 0.000 0.200 0.200
Ga 0.500 0.381 0.381
Al 0.000 0.800 0.800
Ac 0.000 0.287 0.713
Ga 0.500 0.053 0.357
Ga 0.500 0.357 0.053
Ga 0.500 0.947 0.643
Ga 0.500 0.643 0.947



Entry 3:
Here is an optimized crystal structure of MgTeOs4 from the Alexandria database. Energies are from PBE.

Properties
E_form (uncorrected) in eV/atom: 0.695
Uncorrected energy in Ry/atom: -0.557

Unit cell a=5.277 b=5.277 c=5.277 alpha=60.00 beta=60.00 gamma=60.00
Atoms (fractional coordinates):
Os 0.375 0.375 0.375
Os 0.375 0.375 0.875
Mg 0.000 0.000 0.000
Os 0.875 0.375 0.375
Os 0.375 0.875 0.375
Te 0.750 0.750 0.750



no.,D(E_F) (states/eV/atom),size of the total moment (μB/cell)
1,1.12,0.00
2,0.43,0.00
3,1.61,0.00